# K3CrCd2F9 | Alexandria via LeMat-Bulk | PBE with a Hubbard U | relaxed
data_K3CrCd2F9
_chemical_formula_sum 'K3 Cr1 Cd2 F9'
_space_group_name_H-M_alt 'P -3 m 1'
_space_group_IT_number 164
_space_group_name_Hall '-P 3 2"'
_cell_length_a 6.2011
_cell_length_b 6.2011
_cell_length_c 7.5924
_cell_angle_alpha 90.00
_cell_angle_beta 90.00
_cell_angle_gamma 120.00
loop_
_atom_site_label
_atom_site_type_symbol
_atom_site_fract_x
_atom_site_fract_y
_atom_site_fract_z
K1 K 0.0000 0.0000 0.0000
K2 K 0.3333 0.6667 0.6769
Cr1 Cr 0.0000 0.0000 0.5000
Cd1 Cd 0.3333 0.6667 0.1781
F1 F 0.0000 0.5000 0.0000
F2 F 0.1575 0.3150 0.3453
# D(E_F): 2.60 states/eV/f.u.
# Total magnetic moment: 3.94 μB per formula unit
# E: -4.454 eV/atom
# Crystal system: trigonal